A plane-wave DFT calculation with GGA-PBE was carried out for crystalline TlFeTcNi at its relaxed geometry.

a b c (Å): 4.3703 4.3703 4.3703
angles (deg): 60.00 60.00 60.00
With the nearest neighbours (Å) after each atom.
Fractional positions:
1 Fe 0.7500 0.7500 0.7500  4 Tl 2.68, 4 Tc 2.68
2 Ni 0.2500 0.2500 0.2500  4 Tc 2.68, 4 Tl 2.68
3 Tc 0.5000 0.5000 0.5000  4 Ni 2.68, 4 Fe 2.68
4 Tl 0.0000 0.0000 0.0000  4 Fe 2.68, 4 Ni 2.68

Values from the calculation:
Energy relative to the lowest polymorph listed for this composition: 0 meV per atom
Crystal system: cubic
Magnetization: 3.81 μB/f.u.


A plane-wave DFT calculation with GGA-PBE was carried out for crystalline Fe2NiTe4 at its relaxed geometry.

a b c (Å): 7.5454 7.5454 10.6239
angles (deg): 90.00 90.00 90.00
With the nearest neighbours (Å) after each atom.
Fractional positions:
1 Fe 0.0000 0.2342 0.0000  6 Te 2.55-2.58
2 Fe 0.2657 0.7343 0.1250  4 Te 2.45-2.46
3 Fe 0.7658 0.0000 0.2500  6 Te 2.55-2.58
4 Fe 0.2657 0.2657 0.3750  4 Te 2.45-2.46
5 Fe 0.0000 0.7658 0.5000  6 Te 2.55-2.58
6 Fe 0.7343 0.2657 0.6250  4 Te 2.45-2.46
7 Fe 0.2342 0.0000 0.7500  6 Te 2.55-2.58
8 Fe 0.7343 0.7343 0.8750  4 Te 2.45-2.46
9 Ni 0.5000 0.2373 0.0000  6 Te 2.58-2.62
10 Ni 0.7627 0.5000 0.2500  6 Te 2.58-2.62
11 Ni 0.5000 0.7627 0.5000  6 Te 2.58-2.62
12 Ni 0.2373 0.5000 0.7500  6 Te 2.58-2.62
13 Te 0.7547 0.0012 0.0075  3 Fe 2.46-2.58, 1 Ni 2.62
14 Te 0.7568 0.4698 0.0080  2 Fe 2.45-2.56, 2 Ni 2.58-2.61
15 Te 0.5302 0.2432 0.2420  2 Fe 2.45-2.56, 2 Ni 2.58-2.61
16 Te 0.9988 0.2453 0.2425  3 Fe 2.46-2.58, 1 Ni 2.62
17 Te 0.9988 0.7547 0.2575  3 Fe 2.46-2.58, 1 Ni 2.62
18 Te 0.5302 0.7568 0.2580  2 Fe 2.45-2.56, 2 Ni 2.58-2.61
19 Te 0.7568 0.5302 0.4920  2 Fe 2.45-2.56, 2 Ni 2.58-2.61
20 Te 0.7547 0.9988 0.4925  3 Fe 2.46-2.58, 1 Ni 2.62
21 Te 0.2453 0.9988 0.5075  3 Fe 2.46-2.58, 1 Ni 2.62
22 Te 0.2432 0.5302 0.5080  2 Fe 2.45-2.56, 2 Ni 2.58-2.61
23 Te 0.4698 0.7568 0.7420  2 Fe 2.45-2.56, 2 Ni 2.58-2.61
24 Te 0.0012 0.7547 0.7425  3 Fe 2.46-2.58, 1 Ni 2.62
25 Te 0.0012 0.2453 0.7575  3 Fe 2.46-2.58, 1 Ni 2.62
26 Te 0.4698 0.2432 0.7580  2 Fe 2.45-2.56, 2 Ni 2.58-2.61
27 Te 0.2432 0.4698 0.9920  2 Fe 2.45-2.56, 2 Ni 2.58-2.61
28 Te 0.2453 0.0012 0.9925  3 Fe 2.46-2.58, 1 Ni 2.62

Values from the calculation:
Crystal system: tetragonal
Magnetization: 1.73 μB/f.u.
E_tot: -0.3671 Ry per atom


A plane-wave DFT calculation with GGA-PBE was carried out for crystalline ThFeNi at its relaxed geometry.

a b c (Å): 4.2396 4.2396 4.2396
angles (deg): 60.00 60.00 60.00
With the nearest neighbours (Å) after each atom.
Fractional positions:
1 Fe 0.0000 0.0000 0.0000  4 Th 2.60, 4 Ni 2.60
2 Ni 0.2500 0.2500 0.2500  4 Fe 2.60
3 Th 0.7500 0.7500 0.7500  4 Fe 2.60

Values from the calculation:
Crystal system: cubic
Energy of formation from the pure elements: 0.166 eV/atom
Magnetization: 0.00 μB/f.u.


A plane-wave DFT calculation with GGA-PBE was carried out for crystalline ThFeNi at its relaxed geometry.

a b c (Å): 4.3043 4.3043 4.3043
angles (deg): 60.00 60.00 60.00
With the nearest neighbours (Å) after each atom.
Fractional positions:
1 Fe 0.2500 0.2500 0.2500  4 Th 2.64
2 Ni 0.7500 0.7500 0.7500  4 Th 2.64
3 Th 0.0000 0.0000 0.0000  4 Fe 2.64, 4 Ni 2.64

Values from the calculation:
Crystal system: cubic
Energy of formation from the pure elements: 0.564 eV/atom
Magnetization: 0.00 μB/f.u.


A plane-wave DFT calculation with GGA-PBE was carried out for crystalline TlFe2Ni at its relaxed geometry.

a b c (Å): 4.3016 4.3016 4.3016
angles (deg): 60.00 60.00 60.00
With the nearest neighbours (Å) after each atom.
Fractional positions:
1 Fe 0.0000 0.0000 0.0000  4 Fe 2.63, 4 Ni 2.63
2 Fe 0.7500 0.7500 0.7500  4 Fe 2.63, 4 Tl 2.63
3 Ni 0.2500 0.2500 0.2500  4 Tl 2.63, 4 Fe 2.63
4 Tl 0.5000 0.5000 0.5000  4 Ni 2.63, 4 Fe 2.63

Values from the calculation:
Crystal system: cubic
Magnetization: 5.30 μB/f.u.
E_tot: -0.4266 Ry per atom


A plane-wave DFT calculation with GGA-PBE was carried out for crystalline ZrTlFeNi at its relaxed geometry.

a b c (Å): 4.6172 4.6172 4.6172
angles (deg): 60.00 60.00 60.00
With the nearest neighbours (Å) after each atom.
Fractional positions:
1 Fe 0.7500 0.7500 0.7500  4 Tl 2.83, 4 Ni 2.83
2 Ni 0.5000 0.5000 0.5000  4 Zr 2.83, 4 Fe 2.83
3 Tl 0.0000 0.0000 0.0000  4 Zr 2.83, 4 Fe 2.83
4 Zr 0.2500 0.2500 0.2500  4 Tl 2.83, 4 Ni 2.83

Values from the calculation:
Energy relative to the lowest polymorph listed for this composition: 218 meV per atom
Crystal system: cubic
Magnetization: 2.78 μB/f.u.


A plane-wave DFT calculation with GGA-PBE was carried out for crystalline ZrTlFeNi at its relaxed geometry.

a b c (Å): 4.5081 4.5081 4.5081
angles (deg): 60.00 60.00 60.00
With the nearest neighbours (Å) after each atom.
Fractional positions:
1 Fe 0.7500 0.7500 0.7500  4 Zr 2.76, 4 Tl 2.76
2 Ni 0.2500 0.2500 0.2500  4 Zr 2.76, 4 Tl 2.76
3 Tl 0.0000 0.0000 0.0000  4 Ni 2.76, 4 Fe 2.76
4 Zr 0.5000 0.5000 0.5000  4 Fe 2.76, 4 Ni 2.76

Values from the calculation:
Energy relative to the lowest polymorph listed for this composition: 0 meV per atom
Crystal system: cubic
Magnetization: 1.54 μB/f.u.


A plane-wave DFT calculation with GGA-PBE was carried out for crystalline TmFe4Ni at its relaxed geometry.

a b c (Å): 7.5182 7.5182 6.0668
angles (deg): 90.00 90.00 150.56
With the nearest neighbours (Å) after each atom.
Fractional positions:
1 Fe 0.5000 0.5000 0.0000  6 Fe 2.56-2.64
2 Fe 0.3263 0.6737 0.0649  1 Fe 2.25, 3 Ni 2.34-2.38
3 Fe 0.9308 0.0692 0.2500  1 Ni 2.39, 4 Fe 2.64
4 Fe 0.3263 0.6737 0.4351  1 Fe 2.25, 3 Ni 2.34-2.38
5 Fe 0.5000 0.5000 0.5000  6 Fe 2.56-2.64
6 Fe 0.6737 0.3263 0.5649  1 Fe 2.25, 3 Ni 2.34-2.38
7 Fe 0.0692 0.9308 0.7500  1 Ni 2.39, 4 Fe 2.64
8 Fe 0.6737 0.3263 0.9351  1 Fe 2.25, 3 Ni 2.34-2.38
9 Ni 0.7665 0.2335 0.2500  7 Fe 2.34-2.39
10 Ni 0.2335 0.7665 0.7500  7 Fe 2.34-2.39
11 Tm 0.1209 0.8791 0.2500  9 Fe 2.76-3.01, 2 Ni 2.85
12 Tm 0.8791 0.1209 0.7500  9 Fe 2.76-3.01, 2 Ni 2.85

Values from the calculation:
Crystal system: orthorhombic
Energy of formation from the pure elements: 0.081 eV/atom
Magnetization: 9.66 μB/f.u.


A plane-wave DFT calculation with GGA-PBE was carried out for crystalline UFeNi at its relaxed geometry.

a b c (Å): 4.1052 4.1052 4.1052
angles (deg): 60.00 60.00 60.00
With the nearest neighbours (Å) after each atom.
Fractional positions:
1 Fe 0.0000 0.0000 0.0000  4 Ni 2.51, 4 U 2.51
2 Ni 0.7500 0.7500 0.7500  4 Fe 2.51
3 U 0.2500 0.2500 0.2500  4 Fe 2.51

Values from the calculation:
Energy relative to the lowest polymorph listed for this composition: 0 meV per atom
Crystal system: cubic
Energy of formation from the pure elements: 0.282 eV/atom
Magnetization: 0.06 μB/f.u.


A plane-wave DFT calculation with GGA-PBE was carried out for crystalline UFeNi at its relaxed geometry.

a b c (Å): 4.1630 4.1630 4.1630
angles (deg): 60.00 60.00 60.00
With the nearest neighbours (Å) after each atom.
Fractional positions:
1 Fe 0.2500 0.2500 0.2500  4 U 2.55
2 Ni 0.7500 0.7500 0.7500  4 U 2.55
3 U 0.0000 0.0000 0.0000  4 Fe 2.55, 4 Ni 2.55

Values from the calculation:
Energy relative to the lowest polymorph listed for this composition: 309 meV per atom
Crystal system: cubic
Energy of formation from the pure elements: 0.591 eV/atom
Magnetization: 0.27 μB/f.u.


A plane-wave DFT calculation with GGA-PBE was carried out for crystalline UFeNi2 at its relaxed geometry.

a b c (Å): 3.6444 3.6444 4.0193
angles (deg): 90.00 90.00 90.00
With the nearest neighbours (Å) after each atom.
Fractional positions:
1 Fe 0.0000 0.0000 0.5000  4 U 2.58, 8 Ni 2.71
2 Ni 0.5000 0.0000 0.0000  4 Ni 2.58, 4 Fe 2.71, 4 U 2.71
3 Ni 0.0000 0.5000 0.0000  4 Ni 2.58, 4 Fe 2.71, 4 U 2.71
4 U 0.5000 0.5000 0.5000  4 Fe 2.58, 8 Ni 2.71

Values from the calculation:
Crystal system: tetragonal
Energy of formation from the pure elements: -0.241 eV/atom
Magnetization: 0.02 μB/f.u.


A plane-wave DFT calculation with GGA-PBE was carried out for crystalline YFe2Ni at its relaxed geometry.

a b c (Å): 4.4037 4.4037 4.4037
angles (deg): 60.00 60.00 60.00
With the nearest neighbours (Å) after each atom.
Fractional positions:
1 Fe 0.0000 0.0000 0.0000  4 Ni 2.70, 4 Fe 2.70
2 Fe 0.7500 0.7500 0.7500  4 Y 2.70, 4 Fe 2.70
3 Ni 0.2500 0.2500 0.2500  4 Y 2.70, 4 Fe 2.70
4 Y 0.5000 0.5000 0.5000  4 Ni 2.70, 4 Fe 2.70

Values from the calculation:
Crystal system: cubic
Energy of formation from the pure elements: 0.133 eV/atom
Magnetization: 4.85 μB/f.u.